Below is a relaxed Hf2VFe5B2 crystal, with properties calculated at the PBE level.

a b c (Å): 8.788 8.788 2.940
angles (deg): 90.00 90.00 90.00
Element x y z (fractional)
Hf1 0.176 0.324 0.000
Hf2 0.324 0.824 0.000
Hf3 0.676 0.176 0.000
Hf4 0.824 0.676 0.000
V1 0.000 0.000 0.000
V2 0.500 0.500 0.000
Fe1 0.000 0.500 0.500
Fe2 0.067 0.783 0.500
Fe3 0.217 0.067 0.500
Fe4 0.283 0.567 0.500
Fe5 0.433 0.283 0.500
Fe6 0.500 0.000 0.500
Fe7 0.567 0.717 0.500
Fe8 0.717 0.433 0.500
Fe9 0.783 0.933 0.500
Fe10 0.933 0.217 0.500
B1 0.121 0.621 0.000
B2 0.379 0.121 0.000
B3 0.621 0.879 0.000
B4 0.879 0.379 0.000

Summary:
**Space group**: P4/mbm, No. 127
**DOS at the Fermi energy**: 7.3 states/eV/f.u.
**Uncorrected energy**: -8.9483 eV/atom
**E_form**: -0.4789 eV/atom